MnRh2PbBr: PBEsol geometry, meta-GGA SCAN.

## Properties
Spin magnetization: 4.01 μB/f.u.
E_form (uncorrected): 64 kJ per mole of atoms

```
MnRh2PbBr
1.0
-2.183 0.171 -3.923
1.595 -4.223 -1.071
-3.728 -1.913 1.992
Pb Mn Rh Br
1 1 2 1
direct
0.500 0.500 0.500 Pb
0.500 0.000 0.000 Mn
0.000 0.000 0.500 Rh
0.000 0.500 0.000 Rh
0.000 0.000 0.000 Br
```